# GGA-PBE CeV2H, relaxed
data_CeV2H
_chemical_formula_sum 'Ce3 V6 H3'
_space_group_name_H-M_alt 'R -3 m'
_space_group_IT_number 166
_space_group_name_Hall '-R 3 2"'
_cell_length_a 2.8340
_cell_length_b 2.8340
_cell_length_c 22.1658
_cell_angle_alpha 90.00
_cell_angle_beta 90.00
_cell_angle_gamma 120.00
loop_
_atom_site_label
_atom_site_type_symbol
_atom_site_fract_x
_atom_site_fract_y
_atom_site_fract_z
Ce1 Ce 0.0000 0.0000 0.0000
V1 V 0.0000 0.0000 0.1173
H1 H 0.0000 0.0000 0.5000
# **Energy**: -6.675 eV per atom
# **Crystal system**: trigonal


# GGA-PBE Cs3TlAg2F9, relaxed
data_Cs3TlAg2F9
_chemical_formula_sum 'Cs3 Tl1 Ag2 F9'
_space_group_name_H-M_alt 'P -3 m 1'
_space_group_IT_number 164
_space_group_name_Hall '-P 3 2"'
_cell_length_a 6.4990
_cell_length_b 6.4990
_cell_length_c 8.0000
_cell_angle_alpha 90.00
_cell_angle_beta 90.00
_cell_angle_gamma 120.00
loop_
_atom_site_label
_atom_site_type_symbol
_atom_site_fract_x
_atom_site_fract_y
_atom_site_fract_z
Cs1 Cs 0.0000 0.0000 0.0000
Cs2 Cs 0.3333 0.6667 0.6829
Tl1 Tl 0.0000 0.0000 0.5000
Ag1 Ag 0.3333 0.6667 0.1623
F1 F 0.0000 0.5000 0.0000
F2 F 0.1616 0.3231 0.3402
# **Energy**: -3.861 eV per atom
# **Crystal system**: trigonal
# **Raw formation energy**: -2030 meV/atom


# GGA-PBE Sm2PCl, relaxed
data_Sm2PCl
_chemical_formula_sum 'Sm6 P3 Cl3'
_space_group_name_H-M_alt 'R 3 m'
_space_group_IT_number 160
_space_group_name_Hall 'R 3 -2"'
_cell_length_a 4.0068
_cell_length_b 4.0068
_cell_length_c 21.5485
_cell_angle_alpha 90.00
_cell_angle_beta 90.00
_cell_angle_gamma 120.00
loop_
_atom_site_label
_atom_site_type_symbol
_atom_site_fract_x
_atom_site_fract_y
_atom_site_fract_z
Sm1 Sm 0.0000 0.0000 0.0000
Sm2 Sm 0.0000 0.0000 0.1927
P1 P 0.0000 0.0000 0.5977
Cl1 Cl 0.0000 0.0000 0.4280
# **Energy**: -5.744 eV per atom
# **Crystal system**: trigonal
# **Raw formation energy**: -1571 meV/atom


# GGA-PBE SrAlI, relaxed
data_SrAlI
_chemical_formula_sum 'Sr4 Al4 I4'
_space_group_name_H-M_alt 'C m c m'
_space_group_IT_number 63
_space_group_name_Hall '-C 2c 2'
_cell_length_a 4.078
_cell_length_b 23.583
_cell_length_c 4.476
_cell_angle_alpha 90.00
_cell_angle_beta 90.00
_cell_angle_gamma 90.00
loop_
_atom_site_label
_atom_site_type_symbol
_atom_site_fract_x
_atom_site_fract_y
_atom_site_fract_z
Sr1 Sr 0.000 0.103 0.250
Al1 Al 0.000 0.477 0.250
I1 I 0.000 0.324 0.250
# **Energy**: -3.071 eV per atom
# **Crystal system**: orthorhombic
# **Raw formation energy**: -746 meV/atom